# 1
# Cs2TcC2

A geometry-optimized Cs2TcC2 structure (GGA-PBE, Alexandria via LeMat-Bulk).

abc: 9.0528 9.0528 3.1586
angles: 90.00 90.00 90.00
Sites, in units of the cell vectors:
Cs: 0.1373 0.3627 0.0000
Cs: 0.3627 0.8627 0.0000
Cs: 0.6373 0.1373 0.0000
Cs: 0.8627 0.6373 0.0000
Tc: 0.0000 0.0000 0.0000
Tc: 0.5000 0.5000 0.0000
C: 0.1677 0.6677 0.5000
C: 0.3323 0.1677 0.5000
C: 0.6677 0.8323 0.5000
C: 0.8323 0.3323 0.5000

Calculated values
The offset from the most stable computed form is 0.598 eV/atom. As for the symmetry: P4/mbm. The formation energy is 3.28 eV/atom.


# 2
# Cs2TcC

A geometry-optimized Cs2TcC structure (GGA-PBE, Alexandria via LeMat-Bulk).

abc: 5.3970 5.3970 5.3970
angles: 60.00 60.00 60.00
Sites, in units of the cell vectors:
Cs: 0.2500 0.2500 0.2500
Cs: 0.7500 0.7500 0.7500
Tc: 0.0000 0.0000 0.0000
C: 0.5000 0.5000 0.5000

Calculated values
As for the symmetry: Fm-3m. The formation energy is 2.67 eV/atom.


# 3
# CsTcC2

A geometry-optimized CsTcC2 structure (GGA-PBE, Alexandria via LeMat-Bulk).

abc: 4.4438 4.4438 4.4438
angles: 60.00 60.00 60.00
Sites, in units of the cell vectors:
Cs: 0.0000 0.0000 0.0000
Tc: 0.5000 0.5000 0.5000
C: 0.2500 0.2500 0.2500
C: 0.7500 0.7500 0.7500

Calculated values
As for the symmetry: Fm-3m. The formation energy is 3.15 eV/atom.


# 4
# Cs2TcC2

A geometry-optimized Cs2TcC2 structure (GGA-PBE, Alexandria via LeMat-Bulk).

abc: 12.1920 12.1920 12.1920
angles: 165.88 165.88 20.02
Sites, in units of the cell vectors:
Cs: 0.1297 0.1297 0.0000
Cs: 0.8703 0.8703 0.0000
Tc: 0.5000 0.5000 0.0000
C: 0.2500 0.7500 0.5000
C: 0.7500 0.2500 0.5000

Calculated values
The offset from the most stable computed form is 0.000 eV/atom. As for the symmetry: I4/mmm. The formation energy is 2.68 eV/atom.


# 5
# Cs3TeC

A geometry-optimized Cs3TeC structure (GGA-PBE, Alexandria via LeMat-Bulk).

abc: 6.2353 6.2353 6.2353
angles: 90.00 90.00 90.00
Sites, in units of the cell vectors:
Cs: 0.0000 0.0000 0.5000
Cs: 0.0000 0.5000 0.0000
Cs: 0.5000 0.0000 0.0000
Te: 0.5000 0.5000 0.5000
C: 0.0000 0.0000 0.0000

Calculated values
For the uncorrected formation energy, the calculation gives 0.3628 eV/atom. The offset from the most stable computed form is 0.000 eV/atom. As for the symmetry: Pm-3m.


# 6
# CsTe2C

A geometry-optimized CsTe2C structure (GGA-PBE, Alexandria via LeMat-Bulk).

abc: 7.1982 7.1982 7.1982
angles: 54.86 54.86 54.86
Sites, in units of the cell vectors:
Cs: 0.0000 0.0000 0.0000
Te: 0.3925 0.3925 0.3925
Te: 0.6075 0.6075 0.6075
C: 0.5000 0.5000 0.5000

Calculated values
For the uncorrected formation energy, the calculation gives 0.4988 eV/atom. The offset from the most stable computed form is 0.028 eV/atom. As for the symmetry: R-3m.


# 7
# Cs2TeC

A geometry-optimized Cs2TeC structure (GGA-PBE, Alexandria via LeMat-Bulk).

abc: 6.2836 6.2836 6.2836
angles: 60.00 60.00 60.00
Sites, in units of the cell vectors:
Cs: 0.2500 0.2500 0.2500
Cs: 0.7500 0.7500 0.7500
Te: 0.0000 0.0000 0.0000
C: 0.5000 0.5000 0.5000

Calculated values
For the uncorrected formation energy, the calculation gives 0.8868 eV/atom. As for the symmetry: Fm-3m.


# 8
# CsTe2C

A geometry-optimized CsTe2C structure (GGA-PBE, Alexandria via LeMat-Bulk).

abc: 9.4168 9.4168 9.4168
angles: 22.98 22.98 22.98
Sites, in units of the cell vectors:
Cs: 0.0000 0.0000 0.0000
Te: 0.2197 0.2197 0.2197
Te: 0.7803 0.7803 0.7803
C: 0.5000 0.5000 0.5000

Calculated values
For the uncorrected formation energy, the calculation gives 0.9286 eV/atom. The offset from the most stable computed form is 0.458 eV/atom. As for the symmetry: R-3m.


For the records above, the corresponding total moment values read 3.2 4.4 1.5 0.0 3.0 1.0 2.0 0.0 μB per formula unit.